Model 1:
DFT (PBE) results for a geometry-optimized CsYHf structure.

Geometry as CIF:
```
data_CsYHf
_chemical_formula_sum 'Cs4 Y4 Hf4'
_cell_length_a 8.087
_cell_length_b 8.087
_cell_length_c 8.087
_cell_angle_alpha 90.00
_cell_angle_beta 90.00
_cell_angle_gamma 90.00
_space_group_name_H-M_alt 'F -4 3 m'
_space_group_IT_number 216
_space_group_name_Hall 'F -4 2 3'
loop_
_atom_site_label
_atom_site_type_symbol
_atom_site_fract_x
_atom_site_fract_y
_atom_site_fract_z
Cs1 Cs 0.000 0.000 0.000
Y1 Y 0.000 0.000 0.500
Hf1 Hf 0.250 0.250 0.250
```

Calculated values
Its total magnetization is 4.3 μB per formula unit.


Model 2:
DFT (PBE) results for a geometry-optimized CsYHf structure.

Geometry as CIF:
```
data_CsYHf
_chemical_formula_sum 'Cs4 Y4 Hf4'
_cell_length_a 7.399
_cell_length_b 7.399
_cell_length_c 7.399
_cell_angle_alpha 90.00
_cell_angle_beta 90.00
_cell_angle_gamma 90.00
_space_group_name_H-M_alt 'F -4 3 m'
_space_group_IT_number 216
_space_group_name_Hall 'F -4 2 3'
loop_
_atom_site_label
_atom_site_type_symbol
_atom_site_fract_x
_atom_site_fract_y
_atom_site_fract_z
Cs1 Cs 0.000 0.000 0.000
Y1 Y 0.250 0.250 0.250
Hf1 Hf 0.250 0.250 0.750
```

Calculated values
Its total magnetization is 0.0 μB per formula unit.


Relative to the most stable structure, the computed energies are model 1 0.0; model 2 14.0, all in kJ/mol of atoms.


Model 1:
DFT (PBE) results for a geometry-optimized CsHgNO structure.

Geometry as CIF:
```
data_CsHgNO
_chemical_formula_sum 'Cs2 Hg2 N2 O2'
_cell_length_a 3.884
_cell_length_b 6.973
_cell_length_c 6.745
_cell_angle_alpha 90.00
_cell_angle_beta 90.00
_cell_angle_gamma 90.00
_space_group_name_H-M_alt 'P m c 21'
_space_group_IT_number 26
loop_
_space_group_symop_operation_xyz
'x,y,z'
'-x,-y,z+1/2'
'-x,y,z'
'x,-y,z+1/2'
loop_
_atom_site_label
_atom_site_type_symbol
_atom_site_fract_x
_atom_site_fract_y
_atom_site_fract_z
Cs1 Cs 0.000 0.240 0.000
Hg1 Hg 0.500 0.212 0.499
N1 N 0.000 0.307 0.496
O1 O 0.500 0.003 0.750
```


Model 2:
DFT (PBE) results for a geometry-optimized CsHgNO structure.

Geometry as CIF:
```
data_CsHgNO
_chemical_formula_sum 'Cs4 Hg4 N4 O4'
_cell_length_a 6.004
_cell_length_b 9.150
_cell_length_c 6.002
_cell_angle_alpha 90.00
_cell_angle_beta 90.00
_cell_angle_gamma 90.00
_space_group_name_H-M_alt 'P c a 21'
_space_group_IT_number 29
loop_
_space_group_symop_operation_xyz
'x,y,z'
'-x,-y,z+1/2'
'-x+1/2,y,z+1/2'
'x+1/2,-y,z'
loop_
_atom_site_label
_atom_site_type_symbol
_atom_site_fract_x
_atom_site_fract_y
_atom_site_fract_z
Cs1 Cs 0.005 0.149 0.000
Hg1 Hg 0.003 0.589 0.005
N1 N 0.250 0.497 0.254
O1 O 0.005 0.824 0.999
```


Relative to the most stable structure, the computed energies are model 1 8.4; model 2 0.0, all in kJ/mol of atoms.


Model 1:
DFT (PBE) results for a geometry-optimized CsHgNO structure.

Geometry as CIF:
```
data_CsHgNO
_chemical_formula_sum 'Cs2 Hg2 N2 O2'
_cell_length_a 4.480
_cell_length_b 4.480
_cell_length_c 10.517
_cell_angle_alpha 90.00
_cell_angle_beta 90.00
_cell_angle_gamma 90.00
_space_group_name_H-M_alt 'P 4/n m m'
_space_group_IT_number 129
loop_
_space_group_symop_operation_xyz
'x,y,z'
'-x,-y,-z'
'-y+1/2,x,z'
'y+1/2,-x,-z'
'-x+1/2,-y+1/2,z'
'x+1/2,y+1/2,-z'
'y,-x+1/2,z'
'-y,x+1/2,-z'
'x+1/2,-y,-z'
'-x+1/2,y,z'
'-y,-x,-z'
'y,x,z'
'-x,y+1/2,-z'
'x,-y+1/2,z'
'y+1/2,x+1/2,-z'
'-y+1/2,-x+1/2,z'
loop_
_atom_site_label
_atom_site_type_symbol
_atom_site_fract_x
_atom_site_fract_y
_atom_site_fract_z
Cs1 Cs 0.250 0.250 0.162
Hg1 Hg 0.250 0.750 0.500
N1 N 0.250 0.250 0.523
O1 O 0.250 0.750 0.000
```


Model 2:
DFT (PBE) results for a geometry-optimized CsHgNO structure.

Geometry as CIF:
```
data_CsHgNO
_chemical_formula_sum 'Cs2 Hg2 N2 O2'
_cell_length_a 5.049
_cell_length_b 5.049
_cell_length_c 6.005
_cell_angle_alpha 90.00
_cell_angle_beta 90.00
_cell_angle_gamma 90.00
_space_group_name_H-M_alt 'P 4/n m m'
_space_group_IT_number 129
loop_
_space_group_symop_operation_xyz
'x,y,z'
'-x,-y,-z'
'-y+1/2,x,z'
'y+1/2,-x,-z'
'-x+1/2,-y+1/2,z'
'x+1/2,y+1/2,-z'
'y,-x+1/2,z'
'-y,x+1/2,-z'
'x+1/2,-y,-z'
'-x+1/2,y,z'
'-y,-x,-z'
'y,x,z'
'-x,y+1/2,-z'
'x,-y+1/2,z'
'y+1/2,x+1/2,-z'
'-y+1/2,-x+1/2,z'
loop_
_atom_site_label
_atom_site_type_symbol
_atom_site_fract_x
_atom_site_fract_y
_atom_site_fract_z
Cs1 Cs 0.250 0.750 0.000
Hg1 Hg 0.250 0.250 0.454
N1 N 0.250 0.250 0.046
O1 O 0.250 0.750 0.500
```


Relative to the most stable structure, the computed energies are model 1 0.0; model 2 17.6, all in kJ/mol of atoms.


Model 1:
DFT (PBE) results for a geometry-optimized Cs2Hg2O5 structure.

Geometry as CIF:
```
data_Cs2Hg2O5
_chemical_formula_sum 'Cs2 Hg2 O5'
_cell_length_a 4.192
_cell_length_b 4.192
_cell_length_c 9.818
_cell_angle_alpha 90.00
_cell_angle_beta 90.00
_cell_angle_gamma 90.00
_space_group_name_H-M_alt 'P 4/m m m'
_space_group_IT_number 123
_space_group_name_Hall '-P 4 2'
loop_
_atom_site_label
_atom_site_type_symbol
_atom_site_fract_x
_atom_site_fract_y
_atom_site_fract_z
Cs1 Cs 0.000 0.000 0.000
Cs2 Cs 0.000 0.000 0.500
Hg1 Hg 0.500 0.500 0.227
O1 O 0.000 0.500 0.271
O2 O 0.500 0.500 0.000
```


Model 2:
DFT (PBE) results for a geometry-optimized Cs2Hg2O5 structure.

Geometry as CIF:
```
data_Cs2Hg2O5
_chemical_formula_sum 'Cs2 Hg2 O5'
_cell_length_a 4.500
_cell_length_b 4.500
_cell_length_c 8.851
_cell_angle_alpha 90.00
_cell_angle_beta 90.00
_cell_angle_gamma 90.00
_space_group_name_H-M_alt 'P 4/m m m'
_space_group_IT_number 123
_space_group_name_Hall '-P 4 2'
loop_
_atom_site_label
_atom_site_type_symbol
_atom_site_fract_x
_atom_site_fract_y
_atom_site_fract_z
Cs1 Cs 0.000 0.000 0.205
Hg1 Hg 0.500 0.500 0.000
Hg2 Hg 0.500 0.500 0.500
O1 O 0.000 0.000 0.500
O2 O 0.000 0.500 0.163
```


Relative to the most stable structure, the computed energies are model 1 0.0; model 2 69.1, all in kJ/mol of atoms.


Model 1:
DFT (PBE) results for a geometry-optimized CsHgOs structure.

Geometry as CIF:
```
data_CsHgOs
_chemical_formula_sum 'Cs4 Hg4 Os4'
_cell_length_a 7.365
_cell_length_b 7.365
_cell_length_c 7.365
_cell_angle_alpha 90.00
_cell_angle_beta 90.00
_cell_angle_gamma 90.00
_space_group_name_H-M_alt 'F -4 3 m'
_space_group_IT_number 216
_space_group_name_Hall 'F -4 2 3'
loop_
_atom_site_label
_atom_site_type_symbol
_atom_site_fract_x
_atom_site_fract_y
_atom_site_fract_z
Cs1 Cs 0.000 0.000 0.000
Hg1 Hg 0.000 0.000 0.500
Os1 Os 0.250 0.250 0.250
```

Calculated values
Its total magnetization is 2.7 μB per formula unit.


Model 2:
DFT (PBE) results for a geometry-optimized CsHgOs structure.

Geometry as CIF:
```
data_CsHgOs
_chemical_formula_sum 'Cs4 Hg4 Os4'
_cell_length_a 7.618
_cell_length_b 7.618
_cell_length_c 7.618
_cell_angle_alpha 90.00
_cell_angle_beta 90.00
_cell_angle_gamma 90.00
_space_group_name_H-M_alt 'F -4 3 m'
_space_group_IT_number 216
_space_group_name_Hall 'F -4 2 3'
loop_
_atom_site_label
_atom_site_type_symbol
_atom_site_fract_x
_atom_site_fract_y
_atom_site_fract_z
Cs1 Cs 0.000 0.000 0.000
Hg1 Hg 0.250 0.250 0.250
Os1 Os 0.000 0.000 0.500
```

Calculated values
Its total magnetization is 2.8 μB per formula unit.


Relative to the most stable structure, the computed energies are model 1 0.0; model 2 9.0, all in kJ/mol of atoms.


Model 1:
DFT (PBE) results for a geometry-optimized CsPaHg structure.

Geometry as CIF:
```
data_CsPaHg
_chemical_formula_sum 'Cs4 Pa4 Hg4'
_cell_length_a 7.323
_cell_length_b 7.323
_cell_length_c 7.323
_cell_angle_alpha 90.00
_cell_angle_beta 90.00
_cell_angle_gamma 90.00
_space_group_name_H-M_alt 'F -4 3 m'
_space_group_IT_number 216
_space_group_name_Hall 'F -4 2 3'
loop_
_atom_site_label
_atom_site_type_symbol
_atom_site_fract_x
_atom_site_fract_y
_atom_site_fract_z
Cs1 Cs 0.000 0.000 0.000
Pa1 Pa 0.250 0.250 0.250
Hg1 Hg 0.000 0.000 0.500
```

Calculated values
Its total magnetization is 0.0 μB per formula unit.


Model 2:
DFT (PBE) results for a geometry-optimized CsPaHg structure.

Geometry as CIF:
```
data_CsPaHg
_chemical_formula_sum 'Cs4 Pa4 Hg4'
_cell_length_a 7.307
_cell_length_b 7.307
_cell_length_c 7.307
_cell_angle_alpha 90.00
_cell_angle_beta 90.00
_cell_angle_gamma 90.00
_space_group_name_H-M_alt 'F -4 3 m'
_space_group_IT_number 216
_space_group_name_Hall 'F -4 2 3'
loop_
_atom_site_label
_atom_site_type_symbol
_atom_site_fract_x
_atom_site_fract_y
_atom_site_fract_z
Cs1 Cs 0.000 0.000 0.000
Pa1 Pa 0.250 0.250 0.250
Hg1 Hg 0.250 0.250 0.750
```

Calculated values
Its total magnetization is 1.5 μB per formula unit.


Relative to the most stable structure, the computed energies are model 1 0.0; model 2 32.5, all in kJ/mol of atoms.